Below is a relaxed Gd2ErLu crystal, with properties calculated at the GGA-PBE level.

extended XYZ file:
```
4
Lattice="3.532 0.000 0.000 1.766 3.058 0.000 1.766 1.019 11.475" Properties=species:S:1:pos:R:3 pbc="T T T"
Gd 5.297 3.058 8.592
Gd 1.766 1.019 2.883
Lu 3.532 2.039 5.738
Er 0.000 0.000 0.000
```

## Properties
The calculation puts the total energy at -9.280 eV per atom. For the formation energy from the elements, the calculation gives 32 meV per atom. The value obtained for the density of states at the Fermi level is 6.5 states/eV/cell. Its crystal system is trigonal.

=====

Below is a relaxed GdEr2Lu crystal, with properties calculated at the GGA-PBE level.

extended XYZ file:
```
4
Lattice="-0.253 -5.578 -0.519 2.917 -2.576 -4.038 4.450 -3.144 1.326" Properties=species:S:1:pos:R:3 pbc="T T T"
Gd 3.556 -5.649 -1.615
Lu 0.000 0.000 0.000
Er 1.778 -2.824 -0.808
Er 5.335 -8.473 -2.423
```

## Properties
The calculation puts the total energy at -6.807 eV per atom. For the formation energy from the elements, the calculation gives 124 meV per atom. The value obtained for the density of states at the Fermi level is 8.2 states/eV/cell. Its crystal system is cubic.

=====

Below is a relaxed Gd2ErLu crystal, with properties calculated at the GGA-PBE level.

extended XYZ file:
```
4
Lattice="3.536 0.000 0.000 0.000 3.536 0.000 0.000 0.000 9.935" Properties=species:S:1:pos:R:3 pbc="T T T"
Gd 0.000 0.000 7.466
Gd 0.000 0.000 2.469
Lu 1.768 1.768 0.000
Er 1.768 1.768 4.967
```

## Properties
The calculation puts the total energy at -9.278 eV per atom. For the formation energy from the elements, the calculation gives 33 meV per atom. The value obtained for the density of states at the Fermi level is 7.5 states/eV/cell. Its crystal system is tetragonal.